[1]
GdSb | PBE | optimized geometry

It has space group Pmma (No. 51), with a = 6.4647 Å, b = 6.0264 Å, c = 5.9866 Å, α = 90.00°, β = 90.00° and γ = 90.00°. The inequivalent atoms are Gd at (0.0000, 0.0000, 0.0000), Gd at (0.2500, 0.5000, 0.3088), Sb at (0.2500, 0.0000, 0.4779) and Sb at (0.2500, 0.5000, 0.8147).

The value obtained for the final energy is -0.189 Ha/atom. Its density is 7.9 g cm⁻³.


[2]
Tm2HCF | PBE | optimized geometry

It has space group P3m1 (No. 156), with a = 3.5697 Å, b = 3.5697 Å, c = 6.0844 Å, α = 90.00°, β = 90.00° and γ = 120.00°. The inequivalent atoms are Tm at (0.0000, 0.0000, 0.0000), Tm at (0.3333, 0.6667, 0.4334), H at (0.0000, 0.0000, 0.5899), C at (0.6667, 0.3333, 0.2145) and F at (0.3333, 0.6667, 0.8170).

The value obtained for the final energy is -0.227 Ha/atom. Its density is 9.1 g cm⁻³.


[3]
Si4Ni | PBE | optimized geometry

It has space group Ccce (No. 68, origin choice 2), with a = 5.4257 Å, b = 9.3978 Å, c = 5.4175 Å, α = 90.00°, β = 90.00° and γ = 90.00°. The inequivalent atoms are Si at (0.1653, 0.1214, 0.0880) and Ni at (0.0000, 0.2500, 0.7500).

The value obtained for the final energy is -0.202 Ha/atom. Its density is 4.1 g cm⁻³.


[4]
SrCuSbPd | PBE | optimized geometry

It has space group F-43m (No. 216), with a = 7.0348 Å, b = 7.0348 Å, c = 7.0348 Å, α = 90.00°, β = 90.00° and γ = 90.00°. The inequivalent atoms are Sr at (0.0000, 0.0000, 0.0000), Cu at (0.2500, 0.2500, 0.7500), Sb at (0.2500, 0.2500, 0.2500) and Pd at (0.0000, 0.0000, 0.5000).

The value obtained for the final energy is -0.143 Ha/atom. The calculation puts the energy above the lowest structure with this stoichiometry at 0.141 eV/atom. Its density is 7.2 g cm⁻³.